The following is a PBE calculation of Si2HgPt after structural relaxation, from the Alexandria database.

Unit cell a=5.1080 b=5.1080 c=5.1080 alpha=141.31 beta=120.20 gamma=73.53
With the nearest neighbours (Å) after each atom.
Positions (direct):
1 Si 0.0000 0.0000 0.0000  2 Pt 2.40, 2 Si 2.55
2 Si 0.7675 0.2675 0.5000  2 Si 2.55, 2 Hg 2.80
3 Hg 0.4947 0.4947 0.0000  6 Si 2.80-3.06, 4 Pt 2.90-3.08
4 Pt 0.2072 0.7072 0.5000  2 Si 2.40

Symmetry ... Imm2, No. 44
Formation energy without anion corrections ... 219.3 meV/atom

***

The following is a PBE calculation of SiHgPt after structural relaxation, from the Alexandria database.

Unit cell a=6.4588 b=6.4588 c=6.4588 alpha=153.00 beta=153.00 gamma=38.56
With the nearest neighbours (Å) after each atom.
Positions (direct):
1 Si 0.0000 0.0000 0.0000  4 Pt 2.52
2 Hg 0.3011 0.3011 0.0000  4 Hg 3.02, 4 Pt 3.16, 4 Si 3.23
3 Pt 0.6097 0.6097 0.0000  4 Si 2.52

Symmetry ... I4mm, No. 107
Formation energy without anion corrections ... -32.1 meV/atom
Relative energy among the computed polymorphs ... 102 meV/atom

***

The following is a PBE calculation of SiHgPt2 after structural relaxation, from the Alexandria database.

Unit cell a=3.7184 b=3.7184 c=6.4152 alpha=107.07 beta=107.07 gamma=60.49
With the nearest neighbours (Å) after each atom.
Positions (direct):
1 Si 0.0000 0.0000 0.0000  6 Pt 2.42
2 Hg 0.5000 0.5000 0.5000  6 Pt 2.88
3 Pt 0.2719 0.2719 0.8164  3 Si 2.42
4 Pt 0.7281 0.7281 0.1836  3 Si 2.42

Symmetry ... C2/m, No. 12
Formation energy without anion corrections ... -302.0 meV/atom
Relative energy among the computed polymorphs ... 0 meV/atom

***

The following is a PBE calculation of SiHgPt2 after structural relaxation, from the Alexandria database.

Unit cell a=5.0677 b=5.0677 c=5.0677 alpha=140.48 beta=123.03 gamma=71.56
With the nearest neighbours (Å) after each atom.
Positions (direct):
1 Si 0.0000 0.0000 0.0000  4 Pt 2.39
2 Hg 0.5000 0.5000 0.0000  8 Pt 2.94-2.98, 4 Si 2.96
3 Pt 0.2035 0.7035 0.5000  2 Si 2.39
4 Pt 0.7965 0.2965 0.5000  2 Si 2.39

Symmetry ... Immm, No. 71
Formation energy without anion corrections ... -127.1 meV/atom
Relative energy among the computed polymorphs ... 175 meV/atom

***

no.,VASP energy (eV/atom)
1,-4.078
2,-3.954
3,-4.754
4,-4.579